VASP calculation (PBE+U) on a geometry-optimized NaCo2O4 structure.

The space group is Pmmn (No. 59, origin choice 2) and the conventional cell measures 5.708, 10.890 and 4.981 Å, with angles of 90.00, 90.00 and 90.00 degrees. The asymmetric unit holds Na at (0.250, 0.250, 0.014), Na at (0.250, 0.750, 0.347), Co at (0.000, 0.000, 0.500), Co at (0.250, 0.509, 0.998), O at (0.004, 0.094, 0.817), O at (0.250, 0.088, 0.345) and O at (0.250, 0.593, 0.649).

For the total DFT energy (no corrections), the calculation gives -153.5 eV for the cell shown.